1.
An optimized crystal structure of Rb2ZnHg3F12. Source: Alexandria, functional PBE.

Output
total magnetic moment: 0.000 μB per atom
ΔE_f (raw): -1.760 eV/atom
SG: No. 166
raw total energy: -0.1189 Ha/atom

Cell and atoms, written as POSCAR:
```
Rb2ZnHg3F12
1.0
7.8779 -0.0751 -0.0533
3.8252 6.8873 -0.0533
3.8252 2.2266 6.5177
F Hg Zn Rb
12 3 1 2
Direct
0.0651 0.0651 0.7017
0.6602 0.0516 0.6602
0.3398 0.9484 0.3398
0.9484 0.3398 0.3398
0.3398 0.3398 0.9484
0.2983 0.9349 0.9349
0.0516 0.6602 0.6602
0.9349 0.2983 0.9349
0.7017 0.0651 0.0651
0.0651 0.7017 0.0651
0.6602 0.6602 0.0516
0.9349 0.9349 0.2983
0.5000 0.0000 0.0000
0.0000 0.5000 0.0000
0.0000 0.0000 0.5000
0.0000 0.0000 0.0000
0.6585 0.6585 0.6585
0.3415 0.3415 0.3415
```

2.
An optimized crystal structure of TaRe4Ag. Source: Alexandria, functional PBE.

Output
total magnetic moment: 0.000 μB per atom
SG: No. 216
raw total energy: -0.3858 Ha/atom
formation energy: 0.250 eV/atom

Cell and atoms, written as POSCAR:
```
TaRe4Ag
1.0
0.3939 -2.8339 4.3492
-2.9737 1.1296 4.1211
-3.8647 -3.2044 1.3778
Ag Re Ta
1 4 1
Direct
0.0000 0.0000 0.0000
0.3744 0.3744 0.8768
0.3744 0.8768 0.3744
0.3744 0.3744 0.3744
0.8768 0.3744 0.3744
0.7500 0.7500 0.7500
```